[1]
Crystalline LiNdGeTe3 at its relaxed geometry, computed with PBE.

Computed properties:
Energy relative to the elements, uncorrected, eV/atom: -0.85
VASP energy, eV per cell: -51.589

Cell lengths 8.862, 4.268, 9.651 Å; angles 90.00, 103.77, 90.00 degrees
Space group P2_1/m (No. 11)
One atom of each set of equivalent atoms:
Li 0.094 0.250 0.094 x2
Nd 0.186 0.250 0.737 x2
Ge 0.332 0.750 0.355 x2
Te 0.098 0.250 0.383 x2
Te 0.233 0.750 0.992 x2
Te 0.429 0.750 0.657 x2



[2]
Crystalline LiNdTlGe at its relaxed geometry, computed with PBE.

Computed properties:
DFT formation energy, meV per atom: -341
D(E_F), states/eV per atom: 0.519
VASP energy, eV per cell: -60.120

Cell lengths 7.261, 7.261, 7.261 Å; angles 90.00, 90.00, 90.00 degrees
Space group F-43m (No. 216)
One atom of each set of equivalent atoms:
Li 0.000 0.000 0.000 x4
Nd 0.000 0.000 0.500 x4
Tl 0.250 0.250 0.750 x4
Ge 0.250 0.250 0.250 x4



[3]
Crystalline Li2NdY2Ge2 at its relaxed geometry, computed with PBE.

Computed properties:
DFT formation energy, meV per atom: -504
D(E_F), states/eV per atom: 0.440
VASP energy, eV per cell: -102.856

Cell lengths 4.5018, 4.5018, 27.3779 Å; angles 90.00, 90.00, 120.00 degrees
Space group R-3m (No. 166, hexagonal axes)
One atom of each set of equivalent atoms:
Li 0.0000 0.0000 0.0966 x6
Nd 0.0000 0.0000 0.5000 x3
Y 0.0000 0.0000 0.3726 x6
Ge 0.0000 0.0000 0.2393 x6